1.
Computed, not measured: an optimized crystal structure of ZrCrBiF2 at the PBE with a Hubbard U level of DFT.

a = 4.0744 Å, b = 4.0744 Å, c = 6.8065 Å
α = 90.00°, β = 90.00°, γ = 90.00°
Fractional coordinates of all 5 atoms:
Zr 0.0000 0.0000 0.0000
Cr 0.5000 0.5000 0.5000
Bi 0.5000 0.5000 0.0000
F 0.0000 0.5000 0.5000
F 0.5000 0.0000 0.5000

Results
Final energy = -29.8 eV/cell
M_tot = 0.999 μB per atom
Density of states at the Fermi level = 3.43 states/eV/cell


2.
Computed, not measured: an optimized crystal structure of Ni2Pt3O8 at the PBE with a Hubbard U level of DFT.

a = 5.6339 Å, b = 5.6339 Å, c = 5.3447 Å
α = 97.12°, β = 97.12°, γ = 65.67°
Fractional coordinates of all 13 atoms:
Ni 0.2014 0.2014 0.0623
Ni 0.7986 0.7986 0.9377
Pt 0.2478 0.7522 0.5000
Pt 0.5000 0.5000 0.0000
Pt 0.7522 0.2478 0.5000
O 0.1108 0.1108 0.3736
O 0.1458 0.6066 0.1485
O 0.3930 0.3930 0.6419
O 0.3934 0.8542 0.8515
O 0.6066 0.1458 0.1485
O 0.6070 0.6070 0.3581
O 0.8542 0.3934 0.8515
O 0.8892 0.8892 0.6264

Results
Final energy = -71.1 eV/cell
M_tot = 0.307 μB per atom